[1]
# SiIr2Pb

A relaxed SiIr2Pb crystal (PBE, Alexandria via LeMat-Bulk).

The space group is I-42d (No. 122) and the conventional cell measures 5.806, 5.806 and 11.061 Å, with angles of 90.00, 90.00 and 90.00 degrees. The asymmetric unit holds Si at (0.000, 0.000, 0.000), Ir at (0.192, 0.250, 0.125) and Pb at (0.000, 0.000, 0.500).

For the density of states at the Fermi level, the calculation gives 0.525 states/eV/atom. The calculation puts the energy relative to the elements, uncorrected at 0.331 eV/atom. The calculation puts the polymorph energy (0 for the lowest one) at 450 meV per atom. The value obtained for the magnetization is 0.0 μB/f.u.


[2]
# NdZnGaPt

A relaxed NdZnGaPt crystal (PBE, Alexandria via LeMat-Bulk).

The space group is F-43m (No. 216) and the conventional cell measures 6.703, 6.703 and 6.703 Å, with angles of 90.00, 90.00 and 90.00 degrees. The asymmetric unit holds Nd at (0.000, 0.000, 0.000), Zn at (0.250, 0.250, 0.750), Ga at (0.250, 0.250, 0.250) and Pt at (0.000, 0.000, 0.500).

The value obtained for the formation energy is -0.617 eV/atom. For the density of states at the Fermi level, the calculation gives 0.331 states/eV/atom. The value obtained for the magnetization is 0.0 μB/f.u.